Record 1
Crystalline TaInTe2 at its relaxed geometry. Source: the Alexandria database, functional PBE.

abc: 9.621 9.621 7.372
angles: 49.27 49.27 90.00
Fractional positions:
Te  0.766  0.125  0.250
Te  0.984  0.625  0.250
Ta  0.750  0.250  0.500
Te  0.875  0.016  0.750
Ta  0.000  0.000  0.000
Te  0.375  0.234  0.750
In  0.500  0.500  0.000
In  0.250  0.750  0.500

Formation energy (no corrections) = 91 meV per atom
Uncorrected energy = -41.020 eV/cell
SG = No. 122

Record 2
Crystalline Al2O at its relaxed geometry. Source: the Alexandria database, functional PBE.

abc: 4.757 2.901 11.700
angles: 90.00 95.81 90.00
Fractional positions:
Al  0.000  0.500  0.000
Al  0.740  0.500  0.267
O  0.960  0.500  0.834
Al  0.500  0.500  0.500
O  0.040  0.500  0.166
Al  0.260  0.500  0.733
Al  0.740  0.000  0.767
Al  0.500  0.000  0.000
O  0.040  0.000  0.666
O  0.960  0.000  0.334
Al  0.000  0.000  0.500
Al  0.260  0.000  0.233

Formation energy (no corrections) = -1372 meV per atom
Uncorrected energy = -66.241 eV/cell
SG = No. 12

Record 3
Crystalline TaPbBr2 at its relaxed geometry. Source: the Alexandria database, functional PBE.

abc: 4.932 3.275 6.684
angles: 89.46 90.00 90.00
Fractional positions:
Pb  0.000  0.381  0.559
Br  0.000  0.873  0.972
Br  0.500  0.370  0.141
Ta  0.500  0.876  0.827

Formation energy (no corrections) = 106 meV per atom
Uncorrected energy = -18.482 eV/cell
SG = No. 6

Record 4
Crystalline Ba2SrLa at its relaxed geometry. Source: the Alexandria database, functional PBE.

abc: 4.148 4.148 12.140
angles: 90.00 90.00 90.00
Fractional positions:
Ba  0.000  0.000  0.231
Ba  0.000  0.000  0.769
La  0.500  0.500  0.000
Sr  0.500  0.500  0.500

Uncorrected energy = -9.991 eV/cell
SG = No. 123

Record 5
Crystalline Ac12La6Pr at its relaxed geometry. Source: the Alexandria database, functional PBE.

abc: 9.519 9.519 9.519
angles: 98.09 98.09 98.09
Fractional positions:
Ac  0.414  0.828  0.414
La  0.138  0.138  0.404
Ac  0.172  0.586  0.586
Ac  0.262  0.738  0.000
Ac  0.000  0.738  0.262
La  0.596  0.862  0.862
Ac  0.586  0.586  0.172
Pr  0.000  0.000  0.000
La  0.862  0.596  0.862
La  0.138  0.404  0.138
Ac  0.414  0.414  0.828
Ac  0.000  0.262  0.738
Ac  0.828  0.414  0.414
Ac  0.738  0.000  0.262
La  0.404  0.138  0.138
Ac  0.586  0.172  0.586
La  0.862  0.862  0.596
Ac  0.262  0.000  0.738
Ac  0.738  0.262  0.000

Uncorrected energy = -80.974 eV/cell
SG = No. 166

Record 6
Crystalline TbTlTe4 at its relaxed geometry. Source: the Alexandria database, functional PBE.

abc: 6.843 6.843 8.744
angles: 90.00 90.00 90.00
Fractional positions:
Te  0.354  0.854  0.787
Te  0.854  0.646  0.787
Te  0.146  0.354  0.787
Tl  0.500  0.500  0.500
Te  0.146  0.646  0.213
Tb  0.500  0.500  0.000
Te  0.646  0.146  0.787
Te  0.354  0.146  0.213
Tb  0.000  0.000  0.000
Tl  0.000  0.000  0.500
Te  0.646  0.854  0.213
Te  0.854  0.354  0.213

Formation energy (no corrections) = -699 meV per atom
Uncorrected energy = -47.514 eV/cell
SG = No. 125

Record 7
Crystalline BiTeCN2 at its relaxed geometry. Source: the Alexandria database, functional PBE.

abc: 4.136 4.136 7.055
angles: 90.00 90.00 90.00
Fractional positions:
Bi  0.000  0.000  0.000
C  0.500  0.500  0.500
Te  0.000  0.000  0.500
N  0.500  0.000  0.000
N  0.000  0.500  0.000

Formation energy (no corrections) = 2751 meV per atom
Uncorrected energy = -19.140 eV/cell
SG = No. 123

Record 8
Crystalline AcHo2Ga6 at its relaxed geometry. Source: the Alexandria database, functional PBE.

abc: 4.422 7.780 7.780
angles: 56.82 73.49 73.49
Fractional positions:
Ga  0.813  0.891  0.483
Ga  0.813  0.483  0.891
Ac  0.500  0.500  0.500
Ga  0.187  0.109  0.517
Ho  0.373  0.127  0.127
Ho  0.627  0.873  0.873
Ga  0.187  0.517  0.109
Ga  0.000  0.828  0.172
Ga  0.000  0.172  0.828

Uncorrected energy = -35.880 eV/cell
SG = No. 71

Record 9
Crystalline TbHfPb2 at its relaxed geometry. Source: the Alexandria database, functional PBE.

abc: 4.867 4.867 5.975
angles: 65.97 65.97 60.00
Fractional positions:
Pb  0.758  0.758  0.725
Pb  0.242  0.242  0.275
Hf  0.500  0.500  0.500
Tb  0.000  0.000  0.000

Uncorrected energy = -22.492 eV/cell
SG = No. 166

Record 10
Crystalline TmTc2B4 at its relaxed geometry. Source: the Alexandria database, functional PBE.

abc: 3.051 3.576 7.162
angles: 104.46 102.30 90.00
Fractional positions:
B  0.082  0.582  0.163
Tm  0.500  0.000  0.000
B  0.918  0.418  0.837
Tc  0.814  0.814  0.627
B  0.648  0.648  0.296
B  0.352  0.352  0.704
Tc  0.186  0.186  0.373

Uncorrected energy = -55.142 eV/cell
SG = No. 71

Record 11
Crystalline Nd3F8 at its relaxed geometry. Source: the Alexandria database, functional PBE.

abc: 5.744 5.744 5.744
angles: 90.00 90.00 90.00
Fractional positions:
Nd  0.000  0.500  0.500
F  0.269  0.269  0.269
Nd  0.500  0.000  0.500
F  0.731  0.731  0.269
F  0.269  0.731  0.731
F  0.731  0.269  0.269
F  0.269  0.269  0.731
F  0.731  0.269  0.731
F  0.731  0.731  0.731
Nd  0.500  0.500  0.000
F  0.269  0.731  0.269

Formation energy (no corrections) = -3832 meV per atom
Uncorrected energy = -71.429 eV/cell
SG = No. 221

Record 12
Crystalline Rb4Ho3SnSe8 at its relaxed geometry. Source: the Alexandria database, functional PBE.

abc: 8.481 9.368 8.481
angles: 116.91 120.00 90.00
Fractional positions:
Se  0.768  0.307  0.536
Se  0.729  0.693  0.961
Se  0.268  0.305  0.537
Rb  0.000  0.000  0.000
Sn  0.000  0.500  0.000
Se  0.768  0.307  0.039
Rb  0.500  0.000  0.000
Ho  0.000  0.500  0.500
Rb  0.500  0.000  0.500
Se  0.232  0.693  0.464
Ho  0.500  0.500  0.500
Se  0.232  0.693  0.961
Ho  0.500  0.500  0.000
Se  0.732  0.695  0.463
Se  0.271  0.307  0.039
Rb  0.000  0.000  0.500

Formation energy (no corrections) = -1475 meV per atom
Uncorrected energy = -73.085 eV/cell
SG = No. 166